# 1
5
Lattice="4.5066 0.0000 0.0000 0.0000 4.5066 0.0000 0.0000 0.0000 4.5066" Properties=species:S:1:pos:R:3 comment="Li3MoRh | Alexandria via LeMat-Bulk | SCAN | single point on PBEsol structure" vol_a3_per_cell=91.53 ef_ev_per_fu=8.005 magnetic_moment_mub_per_cell=5.54 rho_g_cm3=4.0 space_group="No. 221" n_ef_per_ev_cell=3.28 pbc="T T T"
Li 2.2533 0.0000 0.0000
Li 0.0000 0.0000 2.2533
Li 0.0000 2.2533 0.0000
Mo 0.0000 0.0000 0.0000
Rh 2.2533 2.2533 2.2533


# 2
4
Lattice="2.7733 0.0000 0.0000 0.0000 3.4433 0.0000 0.0000 0.0000 5.5907" Properties=species:S:1:pos:R:3 comment="LiMoRh2 | Alexandria via LeMat-Bulk | SCAN | single point on PBEsol structure" e_above_lowest_polymorph_kj_per_mol_atoms=2.3 vol_a3_per_cell=53.39 ef_ev_per_fu=-0.692 magnetic_moment_mub_per_cell=0.00 rho_g_cm3=9.6 space_group="No. 47" n_ef_per_ev_cell=2.18 pbc="T T T"
Rh 0.0000 0.0000 4.2436
Rh 0.0000 0.0000 1.3471
Li 1.3866 1.7216 0.0000
Mo 1.3866 1.7216 2.7953


# 3
4
Lattice="3.1351 0.0000 0.0000 0.0000 3.1351 0.0000 0.0000 0.0000 5.4423" Properties=species:S:1:pos:R:3 comment="LiMoRh2 | Alexandria via LeMat-Bulk | SCAN | single point on PBEsol structure" e_above_lowest_polymorph_kj_per_mol_atoms=26.0 vol_a3_per_cell=53.49 ef_ev_per_fu=0.292 magnetic_moment_mub_per_cell=0.00 rho_g_cm3=9.6 space_group="No. 99" n_ef_per_ev_cell=2.78 pbc="T T T"
Mo 1.5675 1.5675 4.0381
Li 0.0000 0.0000 2.5877
Rh 1.5675 1.5675 1.6403
Rh 0.0000 0.0000 5.3396


# 4
4
Lattice="2.6681 0.0000 0.0000 0.0000 2.6681 0.0000 0.0000 0.0000 8.4483" Properties=species:S:1:pos:R:3 comment="LiMo2Ru | Alexandria via LeMat-Bulk | SCAN | single point on PBEsol structure" e_above_lowest_polymorph_kj_per_mol_atoms=12.8 vol_a3_per_cell=60.14 ef_ev_per_fu=1.565 magnetic_moment_mub_per_cell=0.00 rho_g_cm3=8.3 space_group="No. 123" n_ef_per_ev_cell=3.84 pbc="T T T"
Li 1.3340 1.3340 4.2242
Ru 1.3340 1.3340 0.0000
Mo 0.0000 0.0000 1.9200
Mo 0.0000 0.0000 6.5284


# 5
4
Lattice="-1.9854 1.1851 -1.3801 1.8707 -0.8318 -3.4054 -2.5213 -4.5443 -0.2750" Properties=species:S:1:pos:R:3 comment="LiMo2Ru | Alexandria via LeMat-Bulk | SCAN | single point on PBEsol structure" e_above_lowest_polymorph_kj_per_mol_atoms=1.5 vol_a3_per_cell=55.68 ef_ev_per_fu=1.098 magnetic_moment_mub_per_cell=0.00 rho_g_cm3=8.9 space_group="No. 47" n_ef_per_ev_cell=2.98 pbc="T T T"
Mo -0.6235 -1.1238 -0.0680
Mo -1.8978 -3.4205 -0.2070
Li -1.3180 -2.0955 -2.5303
Ru -0.0574 0.1766 -2.3928


# 6
4
Lattice="2.6358 0.0000 -0.0100 0.0000 4.1208 0.0000 -0.3927 0.0000 4.9224" Properties=species:S:1:pos:R:3 comment="LiMoRu2 | Alexandria via LeMat-Bulk | SCAN | single point on PBEsol structure" vol_a3_per_cell=53.45 ef_ev_per_fu=0.550 magnetic_moment_mub_per_cell=0.00 rho_g_cm3=9.5 space_group="No. 10" n_ef_per_ev_cell=2.32 pbc="T T T"
Ru 0.5848 0.0000 1.1373
Mo -0.1963 2.0604 2.4612
Li 1.3179 2.0604 -0.0050
Ru 1.6583 0.0000 3.7752


# 7
4
Lattice="-0.3488 1.7410 1.9685 -2.3240 -0.6144 -1.1177 -1.0008 -6.7465 5.7894" Properties=species:S:1:pos:R:3 comment="LiMo2Ru | Alexandria via LeMat-Bulk | SCAN | single point on PBEsol structure" e_above_lowest_polymorph_kj_per_mol_atoms=0.0 vol_a3_per_cell=58.89 ef_ev_per_fu=1.034 magnetic_moment_mub_per_cell=0.00 rho_g_cm3=8.5 space_group="No. 35" n_ef_per_ev_cell=3.61 pbc="T T T"
Li -1.5985 -1.2036 1.9417
Mo -2.0792 -4.4441 4.7225
Mo -0.9916 -6.6843 5.7361
Ru -0.5055 -3.4075 2.9241


# 8
5
Lattice="-3.0809 3.1562 -0.8050 -2.0533 -2.9095 -3.5493 -3.0209 -2.0703 3.4448" Properties=species:S:1:pos:R:3 comment="SrLi2MoRu | Alexandria via LeMat-Bulk | SCAN | single point on PBEsol structure" vol_a3_per_cell=113.34 ef_ev_per_fu=3.633 magnetic_moment_mub_per_cell=0.00 rho_g_cm3=4.4 space_group="No. 123" n_ef_per_ev_cell=4.73 pbc="T T T"
Sr -4.0776 -0.9118 -0.4547
Li -1.0267 -1.4547 -1.7746
Li -1.5105 -1.0351 1.7224
Ru -1.5404 1.5781 -0.4025
Mo 0.0000 0.0000 0.0000


# 9
5
Lattice="-0.7734 2.5120 1.5217 -2.3532 0.4116 -1.8753 -2.7678 -5.5447 4.7154" Properties=species:S:1:pos:R:3 comment="Li2Mo2S | Alexandria via LeMat-Bulk | SCAN | single point on PBEsol structure" vol_a3_per_cell=69.04 magnetic_moment_mub_per_cell=0.00 rho_g_cm3=5.7 space_group="No. 139" n_ef_per_ev_cell=5.60 formation_energy_uncorrected_ev_per_atom=0.578 pbc="T T T"
Mo -2.3201 0.7483 0.6163
Li -2.5522 -0.7855 3.0302
S 0.0000 0.0000 0.0000
Li -3.3421 -1.8357 1.3316
Mo -3.5743 -3.3695 3.7455


# 10
34
Lattice="-4.5790 -3.2096 -3.3925 1.0234 -4.7237 4.4780 -8.5820 6.0982 7.7374" Properties=species:S:1:pos:R:3 comment="Li3Mo6S8 | Alexandria via LeMat-Bulk | SCAN | single point on PBEsol structure" vol_a3_per_cell=557.52 magnetic_moment_mub_per_cell=0.00 rho_g_cm3=5.1 space_group="No. 1" n_ef_per_ev_cell=16.98 formation_energy_uncorrected_ev_per_atom=-0.988 pbc="T T T"
S -8.9431 3.3919 5.9406
S -1.4451 -2.7388 4.1039
Mo -2.9593 -1.0424 3.1203
S -1.6909 -1.0425 1.0335
S -6.1296 -3.9446 3.8116
Li -5.6960 -0.1377 10.2907
Mo -3.7858 -3.3967 4.1328
S -7.4231 -2.3703 6.6846
Mo -8.2713 1.4097 4.6223
S -6.3655 -2.2651 0.7688
Mo -5.5171 -1.7371 2.9753
S -10.4204 -0.9288 7.6783
S -5.7200 0.2695 7.9762
S -10.5891 0.7468 4.6081
S -5.9047 1.9637 4.9784
Mo -7.2333 1.9700 7.0126
Mo -9.7942 1.2865 6.8388
Li -8.1119 4.1057 9.1590
Mo -4.8366 -3.9589 1.7408
S -4.3362 -1.2237 5.0798
S -7.7226 -0.7528 3.6652
Li -8.1222 -0.2541 1.3402
Li 0.3406 -4.5008 3.6573
S -4.6489 0.3541 2.0408
S -8.6515 1.7543 8.9814
Mo -8.0706 -0.3804 8.0042
Mo -9.1128 -0.9511 5.6067
Li -4.9683 -2.4078 7.0808
Mo -6.5470 -0.2519 5.7703
Li -6.6469 -1.7060 -1.4825
Mo -2.2935 -3.2863 1.8920
S -3.1516 -5.3728 2.8180
Mo -4.0259 -1.6182 0.7129
S -3.4323 -3.7438 -0.2285


# 11
15
Lattice="6.4513 0.0144 0.0147 -0.0935 6.4507 0.0147 -0.0935 -0.0951 6.4500" Properties=species:S:1:pos:R:3 comment="LiMo6Se2S6 | Alexandria via LeMat-Bulk | SCAN | single point on PBEsol structure" vol_a3_per_cell=268.45 magnetic_moment_mub_per_cell=0.00 rho_g_cm3=5.8 space_group="No. 148" n_ef_per_ev_cell=7.31 formation_energy_uncorrected_ev_per_atom=-0.778 pbc="T T T"
S 2.4027 0.7796 4.7462
Mo 3.5350 1.3639 2.6583
S 4.6914 2.4815 0.8602
Se 4.9066 4.9894 5.0750
S 5.5251 1.6657 3.9835
S 0.7393 4.7044 2.4958
S 3.8616 5.5905 1.7332
Se 1.3577 1.3807 1.4043
Mo 3.6891 2.7914 5.0704
Mo 2.5752 3.5786 1.4090
Mo 1.3046 2.5974 3.6021
Mo 4.9598 3.7726 2.8773
Mo 2.7293 5.0061 3.8211
S 1.5730 3.8885 5.6191
Li 0.0000 0.0000 0.0000


# 12
4
Lattice="3.3704 0.0000 0.0000 0.0000 4.3754 0.0313 -1.6852 -0.0339 5.0649" Properties=species:S:1:pos:R:3 comment="LiSb2Mo | Alexandria via LeMat-Bulk | SCAN | single point on PBEsol structure" e_above_lowest_polymorph_kj_per_mol_atoms=0.0 vol_a3_per_cell=74.70 magnetic_moment_mub_per_cell=0.00 rho_g_cm3=7.7 space_group="No. 38" n_ef_per_ev_cell=2.57 formation_energy_uncorrected_ev_per_atom=0.033 pbc="T T T"
Li 1.6852 2.7323 0.4125
Mo 1.6852 0.5328 2.0322
Sb 1.6852 0.5147 4.9419
Sb 0.0000 2.7154 2.7901


Please write out number 12 again, unchanged.
4
Lattice="3.3704 0.0000 0.0000 0.0000 4.3754 0.0313 -1.6852 -0.0339 5.0649" Properties=species:S:1:pos:R:3 comment="LiSb2Mo | Alexandria via LeMat-Bulk | SCAN | single point on PBEsol structure" e_above_lowest_polymorph_kj_per_mol_atoms=0.0 vol_a3_per_cell=74.70 magnetic_moment_mub_per_cell=0.00 rho_g_cm3=7.7 space_group="No. 38" n_ef_per_ev_cell=2.57 formation_energy_uncorrected_ev_per_atom=0.033 pbc="T T T"
Li 1.6852 2.7323 0.4125
Mo 1.6852 0.5328 2.0322
Sb 1.6852 0.5147 4.9419
Sb 0.0000 2.7154 2.7901